A plane-wave DFT calculation with PBE was carried out for a geometry-optimized SiBr3 structure.

Cell and atoms, written as POSCAR:
```
SiBr3
1.0
3.595 -6.161 0.000
3.595 6.161 0.000
-2.551 0.000 7.662
Si Br
2 6
direct
0.044 0.044 0.154
0.956 0.956 0.846
0.073 0.368 0.256
0.226 0.226 0.770
0.368 0.073 0.256
0.632 0.927 0.744
0.774 0.774 0.230
0.927 0.632 0.744
```

Output
Space-group type: C2/m
Calculated volume in A^3/atom: 42.4
Uncorrected formation energy in eV/atom: -0.75
ρ in g/cm³: 2.620

---

A plane-wave DFT calculation with PBE was carried out for a geometry-optimized K4AgCl5 structure.

Cell and atoms, written as POSCAR:
```
K4AgCl5
1.0
-4.890 4.890 3.166
4.890 -4.890 3.166
4.890 4.890 -3.166
K Ag Cl
4 1 5
direct
0.097 0.703 0.800
0.297 0.097 0.394
0.703 0.903 0.606
0.903 0.297 0.200
0.453 0.453 0.000
0.029 0.029 0.000
0.222 0.411 0.630
0.411 0.781 0.189
0.592 0.222 0.811
0.781 0.592 0.370
```

Output
Space-group type: I4
Calculated volume in A^3/atom: 30.3
Uncorrected formation energy in eV/atom: -1.63
ρ in g/cm³: 2.422

---

A plane-wave DFT calculation with PBE was carried out for a geometry-optimized ThMg2Sc3 structure.

Cell and atoms, written as POSCAR:
```
ThMg2Sc3
1.0
3.529 0.000 0.000
0.000 3.529 0.000
0.000 0.000 11.995
Th Mg Sc
1 2 3
direct
0.000 0.000 0.000
0.000 0.000 0.345
0.000 0.000 0.655
0.500 0.500 0.188
0.500 0.500 0.500
0.500 0.500 0.812
```

Output
Space-group type: P4/mmm
Calculated volume in A^3/atom: 24.9
ρ in g/cm³: 4.619
E_form in eV/atom: -0.0332

---

A plane-wave DFT calculation with PBE was carried out for a geometry-optimized PmHoFe10 structure.

Cell and atoms, written as POSCAR:
```
PmHoFe10
1.0
3.947 0.000 0.000
0.000 5.036 0.000
0.000 0.000 8.693
Pm Ho Fe
1 1 10
direct
0.000 0.000 0.000
0.000 0.500 0.500
0.000 0.000 0.337
0.000 0.000 0.663
0.000 0.500 0.170
0.000 0.500 0.830
0.500 0.000 0.500
0.500 0.252 0.254
0.500 0.252 0.746
0.500 0.500 0.000
0.500 0.748 0.254
0.500 0.748 0.746
```

Output
Space-group type: Pmmm
Calculated volume in A^3/atom: 14.4
ρ in g/cm³: 8.345
E_form in eV/atom: -0.0182

---

A plane-wave DFT calculation with PBE was carried out for a geometry-optimized BaAc2In4 structure.

Cell and atoms, written as POSCAR:
```
BaAc2In4
1.0
-2.388 2.520 10.587
2.388 -2.520 10.587
2.388 2.520 -10.587
Ba Ac In
1 2 4
direct
0.000 0.000 0.000
0.186 0.686 0.500
0.814 0.314 0.500
0.350 0.850 0.500
0.432 0.432 0.000
0.568 0.568 0.000
0.650 0.150 0.500
```

Output
Space-group type: Immm
Calculated volume in A^3/atom: 36.4
ρ in g/cm³: 6.845
E_form in eV/atom: -0.4079

---

A plane-wave DFT calculation with PBE was carried out for a geometry-optimized CsPbICl2 structure.

Cell and atoms, written as POSCAR:
```
CsPbICl2
1.0
5.742 0.000 0.000
0.000 5.742 0.000
0.000 0.000 6.419
Cs Pb I Cl
1 1 1 2
direct
0.000 0.000 0.000
0.500 0.500 0.500
0.500 0.500 0.000
0.000 0.500 0.500
0.500 0.000 0.500
```

Output
Space-group type: P4/mmm
Calculated volume in A^3/atom: 42.3
Uncorrected formation energy in eV/atom: -1.33
ρ in g/cm³: 4.221

---

A plane-wave DFT calculation with PBE was carried out for a geometry-optimized Tl2ReBi structure.

Cell and atoms, written as POSCAR:
```
Tl2ReBi
1.0
-2.152 2.152 11.111
2.152 -2.152 11.111
2.152 2.152 -11.111
Tl Re Bi
4 2 2
direct
0.111 0.625 0.986
0.375 0.361 0.486
0.639 0.125 0.014
0.875 0.889 0.514
0.000 0.000 0.000
0.750 0.250 0.500
0.250 0.750 0.500
0.500 0.500 0.000
```

Output
Space-group type: I-42d
Calculated volume in A^3/atom: 25.7
ρ in g/cm³: 12.973
E_form in eV/atom: 1.0710

---

A plane-wave DFT calculation with PBE was carried out for a geometry-optimized ErMg15Tl4 structure.

Cell and atoms, written as POSCAR:
```
ErMg15Tl4
1.0
4.733 0.000 0.000
0.000 4.733 0.000
0.000 0.000 21.128
Er Mg Tl
1 15 4
direct
0.000 0.000 0.000
0.000 0.500 0.105
0.000 0.500 0.302
0.000 0.500 0.500
0.000 0.500 0.698
0.000 0.500 0.895
0.500 0.000 0.105
0.500 0.000 0.302
0.500 0.000 0.500
0.500 0.000 0.698
0.500 0.000 0.895
0.500 0.500 0.000
0.500 0.500 0.205
0.500 0.500 0.400
0.500 0.500 0.600
0.500 0.500 0.795
0.000 0.000 0.201
0.000 0.000 0.402
0.000 0.000 0.598
0.000 0.000 0.799
```

Output
Space-group type: P4/mmm
Calculated volume in A^3/atom: 23.7
ρ in g/cm³: 4.734
E_form in eV/atom: -0.0267

---

A plane-wave DFT calculation with PBE was carried out for a geometry-optimized La2Pr3PuAs6 structure.

Cell and atoms, written as POSCAR:
```
La2Pr3PuAs6
1.0
9.374 -2.153 0.000
9.374 2.153 0.000
-1.979 0.000 8.379
La Pr Pu As
2 3 1 6
direct
0.166 0.166 0.333
0.834 0.834 0.667
0.168 0.168 0.834
0.500 0.500 0.500
0.832 0.832 0.166
0.500 0.500 0.000
0.001 0.001 0.761
0.334 0.334 0.415
0.337 0.337 0.920
0.663 0.663 0.080
0.666 0.666 0.585
0.999 0.999 0.239
```

Output
Space-group type: C2/m
Calculated volume in A^3/atom: 28.2
ρ in g/cm³: 6.843
E_form in eV/atom: -1.4285

---

A plane-wave DFT calculation with PBE was carried out for a geometry-optimized BeZn2Ga2 structure.

Cell and atoms, written as POSCAR:
```
BeZn2Ga2
1.0
6.241 0.000 0.000
0.000 6.241 0.000
0.000 0.000 4.094
Be Zn Ga
2 4 4
direct
0.000 0.000 0.000
0.500 0.500 0.000
0.156 0.344 0.500
0.344 0.844 0.500
0.656 0.156 0.500
0.844 0.656 0.500
0.154 0.654 0.000
0.346 0.154 0.000
0.654 0.846 0.000
0.846 0.346 0.000
```

Output
Space-group type: P4/mbm
Calculated volume in A^3/atom: 15.9
ρ in g/cm³: 5.817
E_form in eV/atom: 0.2447

---

A plane-wave DFT calculation with PBE was carried out for a geometry-optimized InCoHg2 structure.

Cell and atoms, written as POSCAR:
```
InCoHg2
1.0
3.056 0.000 0.000
0.000 3.056 0.000
0.000 0.000 8.670
In Co Hg
1 1 2
direct
0.000 0.000 0.000
0.500 0.500 0.178
0.000 0.000 0.381
0.500 0.500 0.690
```

Output
Space-group type: P4mm
Calculated volume in A^3/atom: 20.2
ρ in g/cm³: 11.789
E_form in eV/atom: 0.2593

---

A plane-wave DFT calculation with PBE was carried out for a geometry-optimized Na3SmY2O6 structure.

Cell and atoms, written as POSCAR:
```
Na3SmY2O6
1.0
3.002 -5.201 0.000
3.002 5.201 0.000
-1.999 0.000 5.600
Na Sm Y O
3 1 2 6
direct
0.000 0.000 0.000
0.331 0.669 0.000
0.669 0.331 0.000
0.500 0.500 0.500
0.167 0.833 0.500
0.833 0.167 0.500
0.090 0.429 0.288
0.231 0.231 0.713
0.429 0.090 0.288
0.571 0.910 0.712
0.769 0.769 0.287
0.910 0.571 0.712
```

Output
Space-group type: C2/m
Calculated volume in A^3/atom: 14.6
Uncorrected formation energy in eV/atom: -2.74
ρ in g/cm³: 4.682